Here is crystalline SrPaMnO5 at its relaxed geometry from Alexandria via LeMat-Bulk. Energies are from PBE with a Hubbard U.

Cell lengths 6.051, 6.051, 8.046 Å; angles 101.47, 101.47, 111.32 degrees
Fractional coordinates of all 16 atoms:
Sr 0.170 0.830 0.750
Sr 0.830 0.170 0.250
Pa 0.500 0.500 0.000
Pa 0.500 0.500 0.500
Mn 0.172 0.828 0.250
Mn 0.828 0.172 0.750
O 0.125 0.210 0.915
O 0.210 0.125 0.415
O 0.215 0.625 0.399
O 0.375 0.785 0.101
O 0.418 0.582 0.750
O 0.582 0.418 0.250
O 0.625 0.215 0.899
O 0.785 0.375 0.601
O 0.790 0.875 0.585
O 0.875 0.790 0.085

Space group   C2/c
Total energy   -8.22 eV per atom
Magnetization   4.0 μB/f.u.

***

Here is crystalline SrPaMnO6 at its relaxed geometry from Alexandria via LeMat-Bulk. Energies are from PBE with a Hubbard U.

Cell lengths 5.514, 5.514, 4.773 Å; angles 90.00, 90.00, 120.00 degrees
Fractional coordinates of all 9 atoms:
Sr 0.000 0.000 0.000
Pa 0.667 0.333 0.500
Mn 0.333 0.667 0.000
O 0.022 0.404 0.236
O 0.022 0.618 0.764
O 0.382 0.404 0.764
O 0.382 0.978 0.236
O 0.596 0.618 0.236
O 0.596 0.978 0.764

Space group   P312
Total energy   -7.67 eV per atom
Magnetization   4.0 μB/f.u.

***

Question: magnetization of number 1 (SrPaMnO5)?
Answer: 4.0 μB/f.u.